(1)
## AcSmP2Rh5 (GGA-PBE)

Data for a relaxed structure of AcSmP2Rh5.

a b c (Å): 4.126 4.126 10.749
angles (deg): 90.00 90.00 90.00
Fractional coordinates of all 9 atoms:
Rh (0.500, 0.000, 0.802)
Rh (0.500, 0.000, 0.198)
Rh (0.000, 0.500, 0.802)
Rh (0.500, 0.500, 0.500)
Rh (0.000, 0.500, 0.198)
Sm (0.000, 0.000, 0.000)
Ac (0.000, 0.000, 0.500)
P (0.500, 0.500, 0.286)
P (0.500, 0.500, 0.714)

crystal system = tetragonal
ΔH_f (0 K) = -18.40 kcal/mol of atoms

=====

(2)
## Sr2ScPH (GGA-PBE)

Data for a relaxed structure of Sr2ScPH.

a b c (Å): 5.016 4.490 5.016
angles (deg): 90.00 90.00 90.00
Each line ends with the local moment (μB).
Fractional coordinates of all 5 atoms:
H (0.000, 0.000, 0.000)  -0.01
Sc (0.000, 0.500, 0.000)  1.06
P (0.500, 0.500, 0.500)  -0.02
Sr (0.000, 0.000, 0.500)  0.15
Sr (0.500, 0.000, 0.000)  0.17

crystal system = tetragonal
VASP energy = -3.903 eV/atom

=====

(3)
## YNiBRu2 (GGA-PBE)

Data for a relaxed structure of YNiBRu2.

a b c (Å): 4.223 4.223 3.987
angles (deg): 90.00 90.00 90.00
Fractional coordinates of all 5 atoms:
B (0.000, 0.000, 0.000)
Y (0.500, 0.500, 0.500)
Ru (0.500, 0.000, 0.000)
Ru (0.000, 0.500, 0.000)
Ni (0.000, 0.000, 0.500)

crystal system = tetragonal
ΔH_f (0 K) = -8.23 kcal/mol of atoms